[1]
Ca3Cd2Hg: relaxed, PBE.

Computed properties:
Uncorrected energy = -10.68 eV for the cell shown
ΔE_f = -424 meV per atom
SG = Cmmm (65)
Polymorph energy (0 for the lowest one) = 0 meV per atom

Unit cell a=3.7890 b=5.4299 c=8.5721 alpha=108.46 beta=90.00 gamma=90.00
Last column: nearest neighbours and their distance in Å.
Fractional coordinates of all 6 atoms:
Ca: 0.5000 0.8372 0.6743  2 Hg 3.26, 6 Cd 3.30-3.31
Ca: 0.5000 0.1628 0.3257  2 Hg 3.26, 6 Cd 3.30-3.31
Ca: 0.5000 0.5000 0.0000  4 Hg 3.31, 4 Cd 3.36
Cd: 0.0000 0.3290 0.6580  8 Ca 3.30-3.36
Cd: 0.0000 0.6710 0.3420  8 Ca 3.30-3.36
Hg: 0.0000 0.0000 0.0000  8 Ca 3.26-3.31

=====

[2]
CaCd5Hg4: relaxed, PBE.

Computed properties:
Uncorrected energy = -8.49 eV for the cell shown
ΔE_f = -71 meV per atom
SG = I4 (79)
Polymorph energy (0 for the lowest one) = 30 meV per atom

Unit cell a=6.3019 b=7.2385 c=7.2385 alpha=79.08 beta=64.20 gamma=64.20
Last column: nearest neighbours and their distance in Å.
Fractional coordinates of all 10 atoms:
Hg: 0.7380 0.8071 0.6183  6 Cd 2.99-3.25, 1 Ca 3.16
Hg: 0.3563 0.3817 0.8071  6 Cd 2.99-3.25, 1 Ca 3.16
Hg: 0.5451 0.6183 0.1929  6 Cd 2.99-3.25, 1 Ca 3.16
Hg: 0.1634 0.1929 0.3817  6 Cd 2.99-3.25, 1 Ca 3.16
Cd: 0.8523 0.3851 0.7978  5 Hg 2.99-3.20, 1 Cd 3.17, 1 Ca 3.31
Cd: 0.2374 0.7978 0.6149  5 Hg 2.99-3.20, 1 Cd 3.17, 1 Ca 3.31
Cd: 0.6501 0.2022 0.3851  5 Hg 2.99-3.20, 1 Cd 3.17, 1 Ca 3.31
Cd: 0.0352 0.6149 0.2022  5 Hg 2.99-3.20, 1 Cd 3.17, 1 Ca 3.31
Cd: 0.7173 0.0000 0.0000  2 Ca 3.14-3.16, 4 Cd 3.17, 4 Hg 3.25
Ca: 0.2153 0.0000 0.0000  6 Cd 3.14-3.31, 4 Hg 3.16

=====

- Among the records above, which one has the lowest polymorph energy (0 for the lowest one)?
  Ca3Cd2Hg

=====

- The lowest polymorph energy (0 for the lowest one) belongs to which entry?
  Ca3Cd2Hg

=====

- What is the formula in the second record?
  CaCd5Hg4

=====

Copy entry 1 word for word.
Ca3Cd2Hg: relaxed, PBE.

Computed properties:
Uncorrected energy = -10.68 eV for the cell shown
ΔE_f = -424 meV per atom
SG = Cmmm (65)
Polymorph energy (0 for the lowest one) = 0 meV per atom

Unit cell a=3.7890 b=5.4299 c=8.5721 alpha=108.46 beta=90.00 gamma=90.00
Last column: nearest neighbours and their distance in Å.
Fractional coordinates of all 6 atoms:
Ca: 0.5000 0.8372 0.6743  2 Hg 3.26, 6 Cd 3.30-3.31
Ca: 0.5000 0.1628 0.3257  2 Hg 3.26, 6 Cd 3.30-3.31
Ca: 0.5000 0.5000 0.0000  4 Hg 3.31, 4 Cd 3.36
Cd: 0.0000 0.3290 0.6580  8 Ca 3.30-3.36
Cd: 0.0000 0.6710 0.3420  8 Ca 3.30-3.36
Hg: 0.0000 0.0000 0.0000  8 Ca 3.26-3.31